1.
# CaZrScSe2 meta-GGA SCAN PBEsol geometry
# density of states at the Fermi level	3.86	states/eV/f.u.
# formation energy without anion corrections	0.424	eV/atom
# crystal system	tetragonal
data_CaZrScSe2
_chemical_formula_sum 'Ca1 Zr1 Sc1 Se2'
_symmetry_space_group_name_H-M 'P 4/m m m'
_symmetry_Int_Tables_number 123
_symmetry_space_group_name_Hall '-P 4 2'
_cell_length_a 5.1071
_cell_length_b 5.1071
_cell_length_c 4.7844
_cell_angle_alpha 90.00
_cell_angle_beta 90.00
_cell_angle_gamma 90.00
loop_
_atom_site_label
_atom_site_fract_x
_atom_site_fract_y
_atom_site_fract_z
_atom_site_occupancy
Ca1 0.0000 0.0000 0.0000 1
Zr1 0.5000 0.5000 0.5000 1
Sc1 0.0000 0.0000 0.5000 1
Se1 0.0000 0.5000 0.0000 1

2.
# CaSc3Sn meta-GGA SCAN PBEsol geometry
# density of states at the Fermi level	7.23	states/eV/f.u.
# energy of formation from the pure elements	0.1380	eV per atom
# crystal system	cubic
data_CaSc3Sn
_chemical_formula_sum 'Ca1 Sc3 Sn1'
_symmetry_space_group_name_H-M 'P m -3 m'
_symmetry_Int_Tables_number 221
_symmetry_space_group_name_Hall '-P 4 2 3'
_cell_length_a 5.4159
_cell_length_b 5.4159
_cell_length_c 5.4159
_cell_angle_alpha 90.00
_cell_angle_beta 90.00
_cell_angle_gamma 90.00
loop_
_atom_site_label
_atom_site_fract_x
_atom_site_fract_y
_atom_site_fract_z
_atom_site_occupancy
Ca1 0.0000 0.0000 0.0000 1
Sc1 0.0000 0.5000 0.5000 1
Sn1 0.5000 0.5000 0.5000 1

3.
# CaSc2Sn meta-GGA SCAN PBEsol geometry
# density of states at the Fermi level	3.65	states/eV/f.u.
# energy of formation from the pure elements	0.2604	eV per atom
# crystal system	trigonal
data_CaSc2Sn
_chemical_formula_sum 'Ca3 Sc6 Sn3'
_symmetry_space_group_name_H-M 'R -3 m'
_symmetry_Int_Tables_number 166
_symmetry_space_group_name_Hall '-R 3 2"'
_cell_length_a 3.3414
_cell_length_b 3.3414
_cell_length_c 34.5204
_cell_angle_alpha 90.00
_cell_angle_beta 90.00
_cell_angle_gamma 120.00
loop_
_atom_site_label
_atom_site_fract_x
_atom_site_fract_y
_atom_site_fract_z
_atom_site_occupancy
Ca1 0.0000 0.0000 0.0000 1
Sc1 0.0000 0.0000 0.4161 1
Sn1 0.0000 0.0000 0.5000 1

4.
# SrCa2Sc meta-GGA SCAN PBEsol geometry
# density of states at the Fermi level	5.61	states/eV/f.u.
# energy of formation from the pure elements	0.2632	eV per atom
# crystal system	monoclinic
data_SrCa2Sc
_chemical_formula_sum 'Sr2 Ca4 Sc2'
_symmetry_space_group_name_H-M 'C 1 2/m 1'
_symmetry_Int_Tables_number 12
_cell_length_a 7.1987
_cell_length_b 11.8903
_cell_length_c 3.5896
_cell_angle_alpha 90.00
_cell_angle_beta 109.53
_cell_angle_gamma 90.00
loop_
_symmetry_equiv_pos_as_xyz
'x,y,z'
'-x,-y,-z'
'-x,y,-z'
'x,-y,z'
'x+1/2,y+1/2,z'
'-x+1/2,-y+1/2,-z'
'-x+1/2,y+1/2,-z'
'x+1/2,-y+1/2,z'
loop_
_atom_site_label
_atom_site_fract_x
_atom_site_fract_y
_atom_site_fract_z
_atom_site_occupancy
Sr1 0.0000 0.0000 0.0000 1
Ca1 0.2500 0.2500 0.5000 1
Sc1 0.0000 0.5000 0.0000 1

5.
# Sr2CaSc meta-GGA SCAN PBEsol geometry
# density of states at the Fermi level	4.50	states/eV/f.u.
# energy of formation from the pure elements	0.2406	eV per atom
# crystal system	tetragonal
data_Sr2CaSc
_chemical_formula_sum 'Sr2 Ca1 Sc1'
_symmetry_space_group_name_H-M 'P 4/m m m'
_symmetry_Int_Tables_number 123
_symmetry_space_group_name_Hall '-P 4 2'
_cell_length_a 4.0621
_cell_length_b 4.0621
_cell_length_c 9.5310
_cell_angle_alpha 90.00
_cell_angle_beta 90.00
_cell_angle_gamma 90.00
loop_
_atom_site_label
_atom_site_fract_x
_atom_site_fract_y
_atom_site_fract_z
_atom_site_occupancy
Sr1 0.0000 0.0000 0.2184 1
Ca1 0.5000 0.5000 0.5000 1
Sc1 0.5000 0.5000 0.0000 1

6.
# Sr2CaSc meta-GGA SCAN PBEsol geometry
# density of states at the Fermi level	5.50	states/eV/f.u.
# energy of formation from the pure elements	0.2880	eV per atom
# crystal system	cubic
data_Sr2CaSc
_chemical_formula_sum 'Sr8 Ca4 Sc4'
_symmetry_space_group_name_H-M 'F m -3 m'
_symmetry_Int_Tables_number 225
_symmetry_space_group_name_Hall '-F 4 2 3'
_cell_length_a 8.5358
_cell_length_b 8.5358
_cell_length_c 8.5358
_cell_angle_alpha 90.00
_cell_angle_beta 90.00
_cell_angle_gamma 90.00
loop_
_atom_site_label
_atom_site_fract_x
_atom_site_fract_y
_atom_site_fract_z
_atom_site_occupancy
Sr1 0.2500 0.2500 0.2500 1
Ca1 0.0000 0.0000 0.0000 1
Sc1 0.0000 0.0000 0.5000 1

7.
# SrCa2Sc meta-GGA SCAN PBEsol geometry
# density of states at the Fermi level	4.33	states/eV/f.u.
# energy of formation from the pure elements	0.2295	eV per atom
# crystal system	orthorhombic
data_SrCa2Sc
_chemical_formula_sum 'Sr2 Ca4 Sc2'
_symmetry_space_group_name_H-M 'I m m m'
_symmetry_Int_Tables_number 71
_symmetry_space_group_name_Hall '-I 2 2'
_cell_length_a 3.9751
_cell_length_b 6.0383
_cell_length_c 12.2003
_cell_angle_alpha 90.00
_cell_angle_beta 90.00
_cell_angle_gamma 90.00
loop_
_atom_site_label
_atom_site_fract_x
_atom_site_fract_y
_atom_site_fract_z
_atom_site_occupancy
Sr1 0.0000 0.0000 0.0000 1
Ca1 0.0000 0.5000 0.2293 1
Sc1 0.0000 0.0000 0.5000 1

8.
# Sr2CaSc meta-GGA SCAN PBEsol geometry
# density of states at the Fermi level	4.73	states/eV/f.u.
# energy of formation from the pure elements	0.2978	eV per atom
# crystal system	orthorhombic
data_Sr2CaSc
_chemical_formula_sum 'Sr2 Ca1 Sc1'
_symmetry_space_group_name_H-M 'P m m m'
_symmetry_Int_Tables_number 47
_cell_length_a 4.3414
_cell_length_b 5.9435
_cell_length_c 5.9913
_cell_angle_alpha 90.00
_cell_angle_beta 90.00
_cell_angle_gamma 90.00
loop_
_symmetry_equiv_pos_as_xyz
'x,y,z'
'-x,-y,-z'
'-x,-y,z'
'x,y,-z'
'x,-y,-z'
'-x,y,z'
'-x,y,-z'
'x,-y,z'
loop_
_atom_site_label
_atom_site_fract_x
_atom_site_fract_y
_atom_site_fract_z
_atom_site_occupancy
Sr1 0.0000 0.0000 0.0000 1
Sr2 0.5000 0.0000 0.5000 1
Ca1 0.0000 0.5000 0.5000 1
Sc1 0.5000 0.5000 0.0000 1

9.
# SrCa2Sc meta-GGA SCAN PBEsol geometry
# density of states at the Fermi level	3.75	states/eV/f.u.
# energy of formation from the pure elements	0.2361	eV per atom
# crystal system	orthorhombic
data_SrCa2Sc
_chemical_formula_sum 'Sr2 Ca4 Sc2'
_symmetry_space_group_name_H-M 'I m m 2'
_symmetry_Int_Tables_number 44
_cell_length_a 4.0293
_cell_length_b 6.0227
_cell_length_c 12.0111
_cell_angle_alpha 90.00
_cell_angle_beta 90.00
_cell_angle_gamma 90.00
loop_
_symmetry_equiv_pos_as_xyz
'x,y,z'
'-x,-y,z'
'-x,y,z'
'x,-y,z'
'x+1/2,y+1/2,z+1/2'
'-x+1/2,-y+1/2,z+1/2'
'-x+1/2,y+1/2,z+1/2'
'x+1/2,-y+1/2,z+1/2'
loop_
_atom_site_label
_atom_site_fract_x
_atom_site_fract_y
_atom_site_fract_z
_atom_site_occupancy
Sr1 0.0000 0.0000 0.0000 1
Ca1 0.0000 0.0000 0.5295 1
Ca2 0.0000 0.5000 0.7689 1
Sc1 0.0000 0.5000 0.2573 1

10.
# CaSc2Tc meta-GGA SCAN PBEsol geometry
# density of states at the Fermi level	4.45	states/eV/f.u.
# energy of formation from the pure elements	-0.1067	eV per atom
# crystal system	monoclinic
data_CaSc2Tc
_chemical_formula_sum 'Ca1 Sc2 Tc1'
_symmetry_space_group_name_H-M 'P 1 2/m 1'
_symmetry_Int_Tables_number 10
_cell_length_a 3.3009
_cell_length_b 3.3003
_cell_length_c 8.5203
_cell_angle_alpha 90.00
_cell_angle_beta 90.12
_cell_angle_gamma 90.00
loop_
_symmetry_equiv_pos_as_xyz
'x,y,z'
'-x,-y,-z'
'-x,y,-z'
'x,-y,z'
loop_
_atom_site_label
_atom_site_fract_x
_atom_site_fract_y
_atom_site_fract_z
_atom_site_occupancy
Ca1 0.0000 0.0000 0.0000 1
Sc1 0.4989 0.5000 0.6719 1
Tc1 0.0000 0.0000 0.5000 1

11.
# CaScTc2 meta-GGA SCAN PBEsol geometry
# density of states at the Fermi level	4.47	states/eV/f.u.
# energy of formation from the pure elements	0.4979	eV per atom
# crystal system	orthorhombic
data_CaScTc2
_chemical_formula_sum 'Ca1 Sc1 Tc2'
_symmetry_space_group_name_H-M 'P m m m'
_symmetry_Int_Tables_number 47
_cell_length_a 3.2637
_cell_length_b 4.5580
_cell_length_c 4.6523
_cell_angle_alpha 90.00
_cell_angle_beta 90.00
_cell_angle_gamma 90.00
loop_
_symmetry_equiv_pos_as_xyz
'x,y,z'
'-x,-y,-z'
'-x,-y,z'
'x,y,-z'
'x,-y,-z'
'-x,y,z'
'-x,y,-z'
'x,-y,z'
loop_
_atom_site_label
_atom_site_fract_x
_atom_site_fract_y
_atom_site_fract_z
_atom_site_occupancy
Ca1 0.0000 0.0000 0.0000 1
Sc1 0.5000 0.0000 0.5000 1
Tc1 0.0000 0.5000 0.5000 1
Tc2 0.5000 0.5000 0.0000 1

12.
# CaScTc2 meta-GGA SCAN PBEsol geometry
# density of states at the Fermi level	3.61	states/eV/f.u.
# energy of formation from the pure elements	0.4640	eV per atom
# crystal system	tetragonal
data_CaScTc2
_chemical_formula_sum 'Ca1 Sc1 Tc2'
_symmetry_space_group_name_H-M 'P 4/m m m'
_symmetry_Int_Tables_number 123
_symmetry_space_group_name_Hall '-P 4 2'
_cell_length_a 2.7443
_cell_length_b 2.7443
_cell_length_c 9.3333
_cell_angle_alpha 90.00
_cell_angle_beta 90.00
_cell_angle_gamma 90.00
loop_
_atom_site_label
_atom_site_fract_x
_atom_site_fract_y
_atom_site_fract_z
_atom_site_occupancy
Ca1 0.0000 0.0000 0.0000 1
Sc1 0.0000 0.0000 0.5000 1
Tc1 0.5000 0.5000 0.2653 1

13.
# CaSc2Tc meta-GGA SCAN PBEsol geometry
# density of states at the Fermi level	2.48	states/eV/f.u.
# energy of formation from the pure elements	0.1105	eV per atom
# crystal system	orthorhombic
data_CaSc2Tc
_chemical_formula_sum 'Ca2 Sc4 Tc2'
_symmetry_space_group_name_H-M 'I m m m'
_symmetry_Int_Tables_number 71
_symmetry_space_group_name_Hall '-I 2 2'
_cell_length_a 4.1799
_cell_length_b 5.3185
_cell_length_c 7.4856
_cell_angle_alpha 90.00
_cell_angle_beta 90.00
_cell_angle_gamma 90.00
loop_
_atom_site_label
_atom_site_fract_x
_atom_site_fract_y
_atom_site_fract_z
_atom_site_occupancy
Ca1 0.0000 0.0000 0.0000 1
Sc1 0.0000 0.5000 0.2149 1
Tc1 0.0000 0.0000 0.5000 1

14.
# CaScTc2 meta-GGA SCAN PBEsol geometry
# density of states at the Fermi level	4.03	states/eV/f.u.
# energy of formation from the pure elements	0.4628	eV per atom
# crystal system	monoclinic
data_CaScTc2
_chemical_formula_sum 'Ca2 Sc2 Tc4'
_symmetry_space_group_name_H-M 'C 1 2/m 1'
_symmetry_Int_Tables_number 12
_cell_length_a 5.7262
_cell_length_b 9.1348
_cell_length_c 2.7878
_cell_angle_alpha 90.00
_cell_angle_beta 108.30
_cell_angle_gamma 90.00
loop_
_symmetry_equiv_pos_as_xyz
'x,y,z'
'-x,-y,-z'
'-x,y,-z'
'x,-y,z'
'x+1/2,y+1/2,z'
'-x+1/2,-y+1/2,-z'
'-x+1/2,y+1/2,-z'
'x+1/2,-y+1/2,z'
loop_
_atom_site_label
_atom_site_fract_x
_atom_site_fract_y
_atom_site_fract_z
_atom_site_occupancy
Ca1 0.0000 0.0000 0.0000 1
Sc1 0.0000 0.5000 0.0000 1
Tc1 0.2500 0.2500 0.5000 1

15.
# Ca2ScTe meta-GGA SCAN PBEsol geometry
# density of states at the Fermi level	5.95	states/eV/f.u.
# formation energy without anion corrections	-0.500	eV/atom
# crystal system	trigonal
data_Ca2ScTe
_chemical_formula_sum 'Ca6 Sc3 Te3'
_symmetry_space_group_name_H-M 'R -3 m'
_symmetry_Int_Tables_number 166
_symmetry_space_group_name_Hall '-R 3 2"'
_cell_length_a 3.9449
_cell_length_b 3.9449
_cell_length_c 29.5682
_cell_angle_alpha 90.00
_cell_angle_beta 90.00
_cell_angle_gamma 120.00
loop_
_atom_site_label
_atom_site_fract_x
_atom_site_fract_y
_atom_site_fract_z
_atom_site_occupancy
Ca1 0.0000 0.0000 0.2350 1
Sc1 0.0000 0.0000 0.0000 1
Te1 0.0000 0.0000 0.5000 1